No. 1
This record from the Alexandria database describes a geometry-optimized Li2ScGa2 structure. The functional is PBE.

It has space group C2/c (No. 15), with a = 7.997 Å, b = 8.043 Å, c = 5.443 Å, α = 90.00°, β = 103.14° and γ = 90.00°. Symmetry generates all atoms from Li at (0.153, 0.014, 0.451), Sc at (0.000, 0.368, 0.250) and Ga at (0.163, 0.288, 0.770).

The calculated formation energy is -0.34 eV per atom. As for the crystal system: monoclinic. The relative energy among the computed polymorphs is 0 meV per atom.

***

No. 2
This record from the Alexandria database describes a geometry-optimized ZrTcMo2 structure. The functional is PBE.

It has space group P4mm (No. 99), with a = 3.213 Å, b = 3.213 Å, c = 6.533 Å, α = 90.00°, β = 90.00° and γ = 90.00°. Symmetry generates all atoms from Zr at (0.000, 0.000, 0.000), Tc at (0.500, 0.500, 0.738), Mo at (0.000, 0.000, 0.503) and Mo at (0.500, 0.500, 0.270).

The calculated formation energy is -0.11 eV per atom. As for the crystal system: tetragonal. The relative energy among the computed polymorphs is 10 meV per atom.

***

No. 3
This record from the Alexandria database describes a geometry-optimized InBiBr structure. The functional is PBE.

It has space group P-1 (No. 2), with a = 4.374 Å, b = 5.403 Å, c = 9.498 Å, α = 96.83°, β = 102.89° and γ = 90.41°. Symmetry generates all atoms from In at (0.080, 0.029, 0.158), Bi at (0.220, 0.817, 0.442) and Br at (0.404, 0.621, 0.814).

As for the formation energy without anion corrections: -0.3639 eV/atom. As for the crystal system: triclinic. The relative energy among the computed polymorphs is 0 meV per atom.

***

No. 4
This record from the Alexandria database describes a geometry-optimized Zr3Ga2Au4 structure. The functional is PBE.

It has space group C2/m (No. 12), with a = 10.047 Å, b = 4.634 Å, c = 8.544 Å, α = 90.00°, β = 122.69° and γ = 90.00°. Symmetry generates all atoms from Zr at (0.000, 0.000, 0.000), Zr at (0.165, 0.500, 0.670), Ga at (0.110, 0.500, 0.280), Au at (0.065, 0.000, 0.392) and Au at (0.213, 0.500, 0.057).

The calculated formation energy is -0.56 eV per atom. As for the crystal system: monoclinic.

***

No. 5
This record from the Alexandria database describes a geometry-optimized Sr3Tb2CeTe6 structure. The functional is PBE.

It has space group C2/m (No. 12), with a = 7.842 Å, b = 13.569 Å, c = 8.032 Å, α = 90.00°, β = 109.00° and γ = 90.00°. Symmetry generates all atoms from Sr at (0.000, 0.000, 0.000), Sr at (0.000, 0.336, 0.000), Tb at (0.000, 0.167, 0.500), Ce at (0.000, 0.500, 0.500), Te at (0.238, 0.000, 0.734) and Te at (0.249, 0.330, 0.736).

As for the formation energy without anion corrections: -1.4992 eV/atom. As for the crystal system: monoclinic.

***

No. 6
This record from the Alexandria database describes a geometry-optimized LaTb6Dy2 structure. The functional is PBE.

It has space group P-1 (No. 2), with a = 3.586 Å, b = 8.764 Å, c = 9.460 Å, α = 90.22°, β = 100.88° and γ = 90.06°. Symmetry generates all atoms from La at (0.000, 0.000, 0.000), Tb at (0.112, 0.665, 0.223), Tb at (0.222, 0.335, 0.444), Tb at (0.332, 0.001, 0.663) and Dy at (0.444, 0.663, 0.888).

The calculated formation energy is 0.02 eV per atom. As for the crystal system: triclinic. The relative energy among the computed polymorphs is 0 meV per atom.

***

No. 7
This record from the Alexandria database describes a geometry-optimized Ni2PbCl structure. The functional is PBE.

It has space group Imm2 (No. 44), with a = 3.254 Å, b = 4.650 Å, c = 10.629 Å, α = 90.00°, β = 90.00° and γ = 90.00°. Symmetry generates all atoms from Ni at (0.000, 0.000, 0.000), Ni at (0.000, 0.500, 0.333), Pb at (0.000, 0.500, 0.882) and Cl at (0.000, 0.000, 0.666).

As for the formation energy without anion corrections: 0.2419 eV/atom. As for the crystal system: orthorhombic. The relative energy among the computed polymorphs is 192 meV per atom.

***

No. 8
This record from the Alexandria database describes a geometry-optimized Pm2TmNpS4 structure. The functional is PBE.

It has space group P2/m (No. 10), with a = 6.838 Å, b = 3.938 Å, c = 6.886 Å, α = 90.00°, β = 109.20° and γ = 90.00°. Symmetry generates all atoms from Pm at (0.000, 0.000, 0.000), Pm at (0.500, 0.500, 0.000), Tm at (0.000, 0.500, 0.500), Np at (0.500, 0.000, 0.500), S at (0.241, 0.000, 0.735) and S at (0.252, 0.500, 0.263).

As for the formation energy without anion corrections: -1.8456 eV/atom. As for the crystal system: monoclinic.

***

No. 9
This record from the Alexandria database describes a geometry-optimized AcSmHo structure. The functional is PBE.

It has space group P4/nmm (No. 129, origin choice 2), with a = 6.237 Å, b = 6.237 Å, c = 6.490 Å, α = 90.00°, β = 90.00° and γ = 90.00°. Symmetry generates all atoms from Ac at (0.250, 0.750, 0.000), Sm at (0.250, 0.250, 0.354) and Ho at (0.250, 0.250, 0.836).

The calculated formation energy is 0.68 eV per atom. As for the crystal system: tetragonal. The relative energy among the computed polymorphs is 628 meV per atom.

***

No. 10
This record from the Alexandria database describes a geometry-optimized TiH2Ru structure. The functional is PBE.

It has space group Fm-3m (No. 225), with a = 5.216 Å, b = 5.216 Å, c = 5.216 Å, α = 90.00°, β = 90.00° and γ = 90.00°. Symmetry generates all atoms from Ti at (0.000, 0.000, 0.000), H at (0.250, 0.250, 0.250) and Ru at (0.000, 0.000, 0.500).

As for the crystal system: cubic. The relative energy among the computed polymorphs is 426 meV per atom.

***

No. 11
This record from the Alexandria database describes a geometry-optimized TbHo5ErSc2 structure. The functional is PBE.

It has space group Cmc2_1 (No. 36), with a = 5.557 Å, b = 21.265 Å, c = 9.284 Å, α = 90.00°, β = 90.00° and γ = 90.00°. Symmetry generates all atoms from Tb at (0.000, 0.185, 0.000), Ho at (0.000, 0.011, 0.005), Ho at (0.000, 0.265, 0.683), Ho at (0.000, 0.307, 0.299), Ho at (0.000, 0.392, 0.971), Ho at (0.000, 0.469, 0.269), Er at (0.000, 0.402, 0.597), Sc at (0.000, 0.113, 0.694) and Sc at (0.000, 0.136, 0.317).

The calculated formation energy is 0.17 eV per atom. As for the crystal system: orthorhombic.

***

No. 12
This record from the Alexandria database describes a geometry-optimized LiH3PdRh structure. The functional is PBE.

It has space group P2_1/m (No. 11), with a = 5.267 Å, b = 2.879 Å, c = 6.973 Å, α = 90.00°, β = 102.19° and γ = 90.00°. Symmetry generates all atoms from Li at (0.093, 0.250, 0.328), H at (0.130, 0.750, 0.081), H at (0.209, 0.250, 0.684), H at (0.392, 0.750, 0.387), Pd at (0.240, 0.250, 0.965) and Rh at (0.398, 0.750, 0.644).

As for the crystal system: monoclinic.

***

no.,total DFT energy (no corrections) (eV/atom),calculated volume (Å³ per atom),ρ (g/cm³)
1,-3.58,17.05,3.86
2,-10.26,16.86,9.38
3,-3.13,36.18,6.18
4,-5.54,18.60,11.91
5,-4.76,33.67,6.11
6,-4.64,32.44,8.06
7,-4.04,20.10,7.44
8,-7.27,21.89,7.81
9,-3.79,42.08,7.13
10,-5.80,8.87,7.07
11,-4.80,30.47,7.51
12,-4.32,8.61,7.05